(1)
Compound: Zr3HO
Source: the Alexandria database
Functional: PBE
Structure: optimized geometry

Lattice parameters (Å, degrees): 4.3992 4.3992 4.3992 90.00 90.00 90.00
Closest atoms and distances in Å follow each position.
Space group Pm-3m (No. 221)
One atom of each set of equivalent atoms:
Zr: 0.0000 0.0000 0.5000 x3  2 O 2.20
H: 0.5000 0.5000 0.5000 x1  12 Zr 3.11
O: 0.0000 0.0000 0.0000 x1  6 Zr 2.20

Calculated volume in Å³ per atom: 17.03
Mass density in Mg/m³: 5.7
Energy above the most stable polymorph in this dataset in meV per atom: 0.0



(2)
Compound: IrRu2W
Source: the Alexandria database
Functional: PBE
Structure: optimized geometry

Lattice parameters (Å, degrees): 5.4784 5.4896 7.7440 90.00 90.00 90.00
Closest atoms and distances in Å follow each position.
Space group F222 (No. 22)
One atom of each set of equivalent atoms:
Ir: 0.0000 0.0000 0.0000 x4  8 Ru 2.74, 4 W 2.74
Ru: 0.0000 0.0000 0.5000 x4  4 Ir 2.74, 4 W 2.74, 4 Ru 2.74
Ru: 0.2500 0.2500 0.2500 x4  4 W 2.74, 4 Ru 2.74, 4 Ir 2.74
W: 0.2500 0.2500 0.7500 x4  8 Ru 2.74, 4 Ir 2.74

Calculated volume in Å³ per atom: 14.56
Mass density in Mg/m³: 16.5
Energy relative to the elements in eV/f.u.: -0.526
Energy above the most stable polymorph in this dataset in meV per atom: 47.2



(3)
Compound: Nd2Dy7Mg
Source: the Alexandria database
Functional: PBE
Structure: optimized geometry

Lattice parameters (Å, degrees): 8.6166 16.9159 5.2051 90.00 90.00 90.00
Closest atoms and distances in Å follow each position.
Space group Cmmm (No. 65)
One atom of each set of equivalent atoms:
Nd: 0.0000 0.2047 0.0000 x4  4 Dy 3.07-3.25
Dy: 0.0000 0.0000 0.0000 x2  4 Dy 3.28, 2 Nd 3.46
Dy: 0.0000 0.3009 0.5000 x4  2 Nd 3.07, 1 Mg 3.37, 4 Dy 3.42
Dy: 0.1784 0.3960 0.0000 x8  4 Dy 3.07-3.42, 1 Nd 3.25
Mg: 0.0000 0.5000 0.5000 x2  10 Dy 3.37-3.50

Calculated volume in Å³ per atom: 37.93
Mass density in Mg/m³: 6.3
Energy relative to the elements in eV/f.u.: 6.583



(4)
Compound: Sm4Zn2Ag
Source: the Alexandria database
Functional: PBE
Structure: optimized geometry

Lattice parameters (Å, degrees): 7.3555 10.2308 5.0811 90.00 90.00 90.00
Closest atoms and distances in Å follow each position.
Space group Cmmm (No. 65)
One atom of each set of equivalent atoms:
Sm: 0.2427 0.0000 0.0000 x4  4 Zn 3.14-3.16, 2 Ag 3.17
Sm: 0.2500 0.2500 0.5000 x4  4 Zn 3.14, 2 Ag 3.15
Zn: 0.0000 0.2527 0.0000 x4  8 Sm 3.14-3.16
Ag: 0.0000 0.5000 0.5000 x2  8 Sm 3.15-3.17

Calculated volume in Å³ per atom: 27.31
Mass density in Mg/m³: 7.3
Energy relative to the elements in eV/f.u.: -1.076



(5)
Compound: SmNbS
Source: the Alexandria database
Functional: PBE
Structure: optimized geometry

Lattice parameters (Å, degrees): 3.9266 3.9266 7.7051 90.00 90.00 90.00
Closest atoms and distances in Å follow each position.
Space group P4/nmm (No. 129, origin choice 2)
One atom of each set of equivalent atoms:
Sm: 0.2500 0.2500 0.1487 x2  5 S 2.87-3.03
Nb: 0.2500 0.7500 0.5000 x2  4 Nb 2.78, 4 S 2.78
S: 0.2500 0.2500 0.7551 x2  4 Nb 2.78, 5 Sm 2.87-3.03

Calculated volume in Å³ per atom: 19.80
Mass density in Mg/m³: 7.7
Raw formation energy in meV/atom: -862



(6)
Compound: Zr2ScCd
Source: the Alexandria database
Functional: PBE
Structure: optimized geometry

Lattice parameters (Å, degrees): 10.9790 3.1643 5.3274 90.00 100.57 90.00
Closest atoms and distances in Å follow each position.
Space group C2/m (No. 12)
One atom of each set of equivalent atoms:
Zr: 0.2392 0.0000 0.2466 x4  6 Zr 3.10-3.16, 3 Cd 3.14-3.36, 3 Sc 3.17-3.33
Sc: 0.0000 0.0000 0.5000 x2  4 Cd 3.10, 2 Sc 3.16, 6 Zr 3.17-3.33
Cd: 0.0000 0.5000 0.0000 x2  4 Sc 3.10, 6 Zr 3.14-3.36, 2 Cd 3.16

Calculated volume in Å³ per atom: 22.74
Mass density in Mg/m³: 6.2
Energy relative to the elements in eV/f.u.: -0.152
Energy above the most stable polymorph in this dataset in meV per atom: 80.4



(7)
Compound: PrSb3Pd3
Source: the Alexandria database
Functional: PBE
Structure: optimized geometry

Lattice parameters (Å, degrees): 7.2576 7.2576 7.2576 90.00 90.00 90.00
Closest atoms and distances in Å follow each position.
Space group Pm-3n (No. 223)
One atom of each set of equivalent atoms:
Pr: 0.0000 0.0000 0.0000 x2  12 Sb 4.06, 12 Pd 4.06
Sb: 0.0000 0.2500 0.5000 x6  4 Pd 2.57
Pd: 0.0000 0.5000 0.2500 x6  4 Sb 2.57

Calculated volume in Å³ per atom: 27.31
Mass density in Mg/m³: 7.2
Energy above the most stable polymorph in this dataset in meV per atom: 228.3
Raw formation energy in meV/atom: -286



(8)
Compound: K3NaCo
Source: the Alexandria database
Functional: PBE
Structure: optimized geometry

Lattice parameters (Å, degrees): 6.4601 6.4601 6.4601 90.00 90.00 90.00
Closest atoms and distances in Å follow each position.
Space group Pm-3m (No. 221)
One atom of each set of equivalent atoms:
K: 0.0000 0.0000 0.5000 x3  2 Co 3.23
Na: 0.5000 0.5000 0.5000 x1  12 K 4.57
Co: 0.0000 0.0000 0.0000 x1  6 K 3.23

Calculated volume in Å³ per atom: 53.92
Mass density in Mg/m³: 1.2
Energy relative to the elements in eV/f.u.: 3.114
Energy above the most stable polymorph in this dataset in meV per atom: 0.0



Copy entry 1 word for word.
Compound: Zr3HO
Source: the Alexandria database
Functional: PBE
Structure: optimized geometry

Lattice parameters (Å, degrees): 4.3992 4.3992 4.3992 90.00 90.00 90.00
Closest atoms and distances in Å follow each position.
Space group Pm-3m (No. 221)
One atom of each set of equivalent atoms:
Zr: 0.0000 0.0000 0.5000 x3  2 O 2.20
H: 0.5000 0.5000 0.5000 x1  12 Zr 3.11
O: 0.0000 0.0000 0.0000 x1  6 Zr 2.20

Calculated volume in Å³ per atom: 17.03
Mass density in Mg/m³: 5.7
Energy above the most stable polymorph in this dataset in meV per atom: 0.0